--- 1 ---
# RbTeAsI2 (GGA-PBE, optimized geometry)
data_RbTeAsI2
_chemical_formula_sum 'Rb1 Te1 As1 I2'
_symmetry_space_group_name_H-M 'P 1'
_symmetry_Int_Tables_number 1
_cell_length_a 6.510
_cell_length_b 6.510
_cell_length_c 6.604
_cell_angle_alpha 90.00
_cell_angle_beta 90.00
_cell_angle_gamma 90.00
loop_
_symmetry_equiv_pos_as_xyz
'x,y,z'
loop_
_atom_site_label
_atom_site_type_symbol
_atom_site_fract_x
_atom_site_fract_y
_atom_site_fract_z
Rb1 Rb 0.000 0.000 0.000
Te1 Te 0.000 0.000 0.500
As1 As 0.500 0.500 0.500
I1 I 0.000 0.500 0.000
I2 I 0.500 0.000 0.000
# Space-group type: P4/mmm, No. 123
# M_tot, μB/atom: 0.000
# DOS(E_F), states/eV per cell: 16.9

***

--- 2 ---
# RbTeAsI2 (GGA-PBE, optimized geometry)
data_RbTeAsI2
_chemical_formula_sum 'Rb1 Te1 As1 I2'
_symmetry_space_group_name_H-M 'P 1'
_symmetry_Int_Tables_number 1
_cell_length_a 5.955
_cell_length_b 5.955
_cell_length_c 5.542
_cell_angle_alpha 90.00
_cell_angle_beta 90.00
_cell_angle_gamma 90.00
loop_
_symmetry_equiv_pos_as_xyz
'x,y,z'
loop_
_atom_site_label
_atom_site_type_symbol
_atom_site_fract_x
_atom_site_fract_y
_atom_site_fract_z
Rb1 Rb 0.000 0.000 0.000
Te1 Te 0.500 0.500 0.000
As1 As 0.500 0.500 0.500
I1 I 0.000 0.500 0.500
I2 I 0.500 0.000 0.500
# Space-group type: P4/mmm, No. 123
# M_tot, μB/atom: 0.000
# DOS(E_F), states/eV per cell: 2.2

***

Tell me which of them is the most stable. Sure, it is 2.

***

--- 1 ---
# ReAs2I (GGA-PBE, optimized geometry)
data_ReAs2I
_chemical_formula_sum 'Re2 As4 I2'
_symmetry_space_group_name_H-M 'P 1'
_symmetry_Int_Tables_number 1
_cell_length_a 7.140
_cell_length_b 7.140
_cell_length_c 7.140
_cell_angle_alpha 124.17
_cell_angle_beta 124.17
_cell_angle_gamma 82.91
loop_
_symmetry_equiv_pos_as_xyz
'x,y,z'
loop_
_atom_site_label
_atom_site_type_symbol
_atom_site_fract_x
_atom_site_fract_y
_atom_site_fract_z
Re1 Re 0.000 0.000 0.000
Re2 Re 0.750 0.250 0.500
As1 As 0.021 0.625 0.896
As2 As 0.375 0.271 0.396
As3 As 0.729 0.125 0.104
As4 As 0.875 0.979 0.604
I1 I 0.250 0.750 0.500
I2 I 0.500 0.500 0.000
# Space-group type: I-42d, No. 122
# M_tot, μB/atom: 0.000
# DOS(E_F), states/eV per cell: 1.3

***

--- 2 ---
# ReAs2I (GGA-PBE, optimized geometry)
data_ReAs2I
_chemical_formula_sum 'Re1 As2 I1'
_symmetry_space_group_name_H-M 'P 1'
_symmetry_Int_Tables_number 1
_cell_length_a 4.754
_cell_length_b 4.754
_cell_length_c 4.754
_cell_angle_alpha 60.00
_cell_angle_beta 60.00
_cell_angle_gamma 60.00
loop_
_symmetry_equiv_pos_as_xyz
'x,y,z'
loop_
_atom_site_label
_atom_site_type_symbol
_atom_site_fract_x
_atom_site_fract_y
_atom_site_fract_z
Re1 Re 0.000 0.000 0.000
As1 As 0.250 0.250 0.250
As2 As 0.750 0.750 0.750
I1 I 0.500 0.500 0.500
# Space-group type: Fm-3m, No. 225
# M_tot, μB/atom: 0.000
# DOS(E_F), states/eV per cell: 4.3

***

Tell me which of them is the most stable. Sure, it is 1.